Record 1
## Na2CdHg5Bi (GGA-PBE)

Data for Na2CdHg5Bi after structural relaxation.

**Volume**: 27.908 Å³/atom
**Energy of formation from the pure elements**: -0.02 eV/atom
**N(E_F)**: 0.38 states/eV/atom
**DFT total energy**: -1.016 eV per atom

Cell: 8.0429 8.0429 9.6255 Å, 114.70 114.70 90.00°
Closest atoms and distances in Å follow each position.
Atoms (fractional coordinates):
1 Na 0.1263 0.3737 0.0000  1 Na 2.87, 4 Hg 2.92-3.17
2 Na 0.6263 0.1263 0.0000  1 Na 2.87, 4 Hg 2.92-3.17
3 Na 0.3737 0.8737 0.0000  1 Na 2.87, 4 Hg 2.92-3.17
4 Na 0.8737 0.6263 0.0000  1 Na 2.87, 4 Hg 2.92-3.17
5 Cd 0.2500 0.7500 0.5000  4 Hg 2.88
6 Cd 0.7500 0.2500 0.5000  4 Hg 2.88
7 Hg 0.9365 0.4365 0.2821  1 Cd 2.88, 1 Na 2.92
8 Hg 0.6545 0.1545 0.7179  1 Cd 2.88, 1 Na 2.92
9 Hg 0.0635 0.5635 0.7179  1 Cd 2.88, 1 Na 2.92
10 Hg 0.1545 0.0635 0.7179  1 Cd 2.88, 1 Na 2.92
11 Hg 0.5635 0.6545 0.7179  1 Cd 2.88, 1 Na 2.92
12 Hg 0.8455 0.9365 0.2821  1 Cd 2.88, 1 Na 2.92
13 Hg 0.4365 0.3455 0.2821  1 Cd 2.88, 1 Na 2.92
14 Hg 0.3455 0.8455 0.2821  1 Cd 2.88, 1 Na 2.92
15 Hg 0.5000 0.5000 0.0000  4 Na 3.17
16 Hg 0.0000 0.0000 0.0000  4 Na 3.17
17 Bi 0.2500 0.2500 0.5000  8 Hg 3.35
18 Bi 0.7500 0.7500 0.5000  8 Hg 3.35

Record 2
## UAgPb2Se5 (GGA-PBE)

Data for UAgPb2Se5 after structural relaxation.

**Volume**: 29.089 Å³/atom
**N(E_F)**: 0.54 states/eV/atom
**DFT total energy**: -4.996 eV per atom

Cell: 4.1993 9.3299 13.7162 Å, 90.00 90.00 103.01°
Closest atoms and distances in Å follow each position.
Atoms (fractional coordinates):
1 U 0.7803 0.5606 0.5305  6 Se 2.75-2.82
2 U 0.2197 0.4394 0.0305  6 Se 2.75-2.82
3 Ag 0.5767 0.1534 0.9482  4 Se 2.62-2.67
4 Ag 0.4233 0.8466 0.4482  4 Se 2.62-2.67
5 Pb 0.8991 0.7981 0.7890  3 Se 2.89-3.07
6 Pb 0.0963 0.1927 0.6442  6 Se 2.96-3.23
7 Pb 0.1009 0.2019 0.2890  3 Se 2.89-3.07
8 Pb 0.9037 0.8073 0.1442  6 Se 2.96-3.23
9 Se 0.3698 0.7395 0.9990  1 U 2.76, 2 Pb 2.96
10 Se 0.7182 0.4363 0.8980  1 Ag 2.66, 2 U 2.78
11 Se 0.5084 0.0168 0.7804  1 Ag 2.62, 2 Pb 2.89
12 Se 0.2641 0.5282 0.6663  2 U 2.82, 1 Pb 3.06
13 Se 0.9286 0.8572 0.5684  2 Ag 2.67, 1 U 2.75
14 Se 0.6302 0.2605 0.4990  1 U 2.76, 2 Pb 2.96
15 Se 0.2818 0.5637 0.3980  1 Ag 2.66, 2 U 2.78
16 Se 0.4916 0.9832 0.2804  1 Ag 2.62, 2 Pb 2.89
17 Se 0.7359 0.4718 0.1663  2 U 2.82, 1 Pb 3.06
18 Se 0.0714 0.1428 0.0684  2 Ag 2.67, 1 U 2.75

Record 3
## Dy2Y3TmP6 (GGA-PBE)

Data for Dy2Y3TmP6 after structural relaxation.

**Volume**: 22.643 Å³/atom
**Energy of formation from the pure elements**: -1.62 eV/atom
**N(E_F)**: 0.14 states/eV/atom
**DFT total energy**: -7.080 eV per atom

Cell: 6.9291 6.9291 6.9298 Å, 99.58 99.58 119.99°
Closest atoms and distances in Å follow each position.
Atoms (fractional coordinates):
1 Dy 0.3335 0.6665 0.0000  6 P 2.83
2 Dy 0.6665 0.3335 0.0000  6 P 2.83
3 Y 0.1671 0.8329 0.5000  6 P 2.83-2.84
4 Y 0.8329 0.1671 0.5000  6 P 2.83-2.84
5 Y 0.5000 0.5000 0.5000  6 P 2.83-2.85
6 Tm 0.0000 0.0000 0.0000  6 P 2.81
7 P 0.9174 0.5860 0.7520  1 Tm 2.81, 2 Dy 2.83, 3 Y 2.83-2.84
8 P 0.7515 0.7515 0.2484  1 Tm 2.81, 2 Dy 2.83, 3 Y 2.83-2.85
9 P 0.0826 0.4140 0.2480  1 Tm 2.81, 2 Dy 2.83, 3 Y 2.83-2.84
10 P 0.5860 0.9174 0.7520  1 Tm 2.81, 2 Dy 2.83, 3 Y 2.83-2.84
11 P 0.2485 0.2485 0.7516  1 Tm 2.81, 2 Dy 2.83, 3 Y 2.83-2.85
12 P 0.4140 0.0826 0.2480  1 Tm 2.81, 2 Dy 2.83, 3 Y 2.83-2.84

Record 4
## AgSb2Os (GGA-PBE)

Data for AgSb2Os after structural relaxation.

**Volume**: 22.212 Å³/atom
**N(E_F)**: 0.80 states/eV/atom
**DFT total energy**: -5.110 eV per atom

Cell: 3.1722 3.9973 7.0069 Å, 90.00 90.00 90.00°
Closest atoms and distances in Å follow each position.
Atoms (fractional coordinates):
1 Sb 0.0000 0.0000 0.9090  1 Ag 2.77, 4 Os 2.82
2 Sb 0.5000 0.5000 0.3396  1 Os 2.79, 4 Ag 2.83
3 Os 0.5000 0.5000 0.7379  5 Sb 2.79-2.82, 4 Ag 3.00
4 Ag 0.0000 0.0000 0.5135  5 Sb 2.77-2.83, 4 Os 3.00

Record 5
## ErZnPd (GGA-PBE)

Data for ErZnPd after structural relaxation.

**Volume**: 19.453 Å³/atom
**Energy of formation from the pure elements**: -0.76 eV/atom
**N(E_F)**: 0.64 states/eV/atom
**DFT total energy**: -4.434 eV per atom

Cell: 7.2679 7.2679 3.8271 Å, 90.00 90.00 120.00°
Closest atoms and distances in Å follow each position.
Atoms (fractional coordinates):
1 Er 0.5964 0.0000 0.0000  5 Pd 2.92-2.93, 6 Zn 3.14-3.20
2 Er 0.0000 0.5964 0.0000  5 Pd 2.92-2.93, 6 Zn 3.14-3.20
3 Er 0.4036 0.4036 0.0000  5 Pd 2.92-2.93, 6 Zn 3.14-3.20
4 Zn 0.2535 0.0000 0.5000  4 Pd 2.66-2.76
5 Zn 0.0000 0.2535 0.5000  4 Pd 2.66-2.76
6 Zn 0.7465 0.7465 0.5000  4 Pd 2.66-2.76
7 Pd 0.0000 0.0000 0.0000  6 Zn 2.66, 3 Er 2.93
8 Pd 0.3333 0.6667 0.5000  3 Zn 2.76, 6 Er 2.92
9 Pd 0.6667 0.3333 0.5000  3 Zn 2.76, 6 Er 2.92

Record 6
## BeGa2Co (GGA-PBE)

Data for BeGa2Co after structural relaxation.

**Volume**: 12.002 Å³/atom
**Energy of formation from the pure elements**: -0.03 eV/atom
**N(E_F)**: 0.50 states/eV/atom
**DFT total energy**: -4.253 eV per atom

Cell: 3.4964 3.7054 3.7054 Å, 90.00 90.00 90.00°
Closest atoms and distances in Å follow each position.
Atoms (fractional coordinates):
1 Be 0.5000 0.5000 0.5000  8 Ga 2.55, 4 Co 2.62
2 Co 0.5000 0.0000 0.0000  8 Ga 2.55, 4 Be 2.62
3 Ga 0.0000 0.0000 0.5000  4 Co 2.55, 4 Be 2.55, 4 Ga 2.62
4 Ga 0.0000 0.5000 0.0000  4 Co 2.55, 4 Be 2.55, 4 Ga 2.62

Record 7
## AcEuSnHg (GGA-PBE)

Data for AcEuSnHg after structural relaxation.

**Volume**: 32.188 Å³/atom
**Energy of formation from the pure elements**: -0.61 eV/atom
**N(E_F)**: 0.71 states/eV/atom
**DFT total energy**: -5.280 eV per atom

Cell: 5.6679 5.6679 5.6679 Å, 60.00 60.00 60.00°
Closest atoms and distances in Å follow each position.
Atoms (fractional coordinates):
1 Eu 0.0000 0.0000 0.0000  4 Sn 3.47, 4 Hg 3.47
2 Ac 0.5000 0.5000 0.5000  4 Hg 3.47, 4 Sn 3.47
3 Hg 0.7500 0.7500 0.7500  4 Ac 3.47, 4 Eu 3.47
4 Sn 0.2500 0.2500 0.2500  4 Ac 3.47, 4 Eu 3.47

Record 8
## TlAgSb (GGA-PBE)

Data for TlAgSb after structural relaxation.

**Volume**: 26.743 Å³/atom
**N(E_F)**: 0.54 states/eV/atom
**DFT total energy**: -2.992 eV per atom

Cell: 6.4303 6.4303 6.4303 Å, 151.25 140.95 49.20°
Closest atoms and distances in Å follow each position.
Atoms (fractional coordinates):
1 Sb 0.3642 0.3642 0.0000  4 Ag 2.97, 2 Sb 3.19
2 Tl 0.6622 0.6622 0.0000  2 Tl 3.19, 4 Ag 3.47, 5 Sb 3.48-3.57
3 Ag 0.9735 0.9735 0.0000  4 Sb 2.97, 2 Ag 3.19